Entry from the Alexandria database: a relaxed structure of Na2MnAlO4 (GGA+U).

a = 2.934 Å, b = 5.139 Å, c = 5.617 Å
α = 107.91°, β = 90.00°, γ = 90.00°
Last column: magnetic moment on the atom in μB.
Positions (direct):
O 0.000 0.738 0.190  -0.02
O 0.500 0.220 0.194  -0.02
O 0.000 0.262 0.810  -0.02
O 0.500 0.780 0.806  -0.02
Mn 0.500 0.500 0.000  2.03
Al 0.000 0.000 0.000  0.01
Na 0.000 0.500 0.500  0.00
Na 0.500 0.000 0.500  0.00

For the total energy, the calculation gives -6.160 eV/atom. The value obtained for the volume is 81 Å³/cell.